## Rb3HfMn (PBEsol)

Data for a relaxed structure of Rb3HfMn.

POSCAR file:
```
Rb3HfMn
1.0
-2.289 4.882 -3.770
-0.933 -4.249 -4.936
-6.097 -1.183 2.170
Mn Hf Rb
1 1 3
Cartesian
0.000 0.000 0.000
-4.659 -0.275 -3.268
-0.466 -2.124 -2.468
-3.049 -0.591 1.085
-1.145 2.441 -1.885
```

Calculated values
The calculation puts the volume at 284.8 Å³ per cell. As for the crystal system: cubic. For the final energy, the calculation gives -2.82 eV/atom. The space group is Pm-3m (221).



## TlAgTe3 (PBEsol)

Data for a relaxed structure of TlAgTe3.

POSCAR file:
```
TlAgTe3
1.0
-3.869 3.359 1.741
-2.804 -0.875 -4.545
-2.539 -4.152 2.366
Tl Te Ag
1 3 1
Cartesian
-4.607 -0.834 -0.219
-1.402 -0.437 -2.272
-1.270 -2.076 1.183
-1.935 1.679 0.870
0.000 0.000 0.000
```

Calculated values
The calculation puts the volume at 158.5 Å³ per cell. As for the crystal system: cubic. For the final energy, the calculation gives -3.04 eV/atom. As for the raw formation energy: 0.2686 eV per atom. The space group is Pm-3m (221).



## Li2YCd (PBEsol)

Data for a relaxed structure of Li2YCd.

POSCAR file:
```
Li2YCd
1.0
-0.663 -4.335 -1.988
3.775 -2.503 -1.632
1.448 -3.961 2.323
Y Cd Li
1 1 2
Cartesian
2.280 -5.399 -0.649
0.000 0.000 0.000
3.420 -8.099 -0.973
1.140 -2.700 -0.324
```

Calculated values
The calculation puts the volume at 78.9 Å³ per cell. As for the crystal system: cubic. For the final energy, the calculation gives -3.09 eV/atom. The energy above the most stable polymorph in this dataset comes out at 4 meV per atom. The space group is Fm-3m (225).



## Ag2WCl (PBEsol)

Data for a relaxed structure of Ag2WCl.

POSCAR file:
```
Ag2WCl
1.0
-0.999 -0.970 -2.438
0.173 -4.270 1.629
-4.829 0.485 1.785
Ag W Cl
2 1 1
Cartesian
0.000 0.000 0.000
-0.413 -2.620 -0.404
-2.328 -1.893 1.707
-2.914 -0.243 -0.326
```

Calculated values
The calculation puts the volume at 66.4 Å³ per cell. As for the crystal system: orthorhombic. For the final energy, the calculation gives -4.81 eV/atom. As for the raw formation energy: 0.8007 eV per atom. The energy above the most stable polymorph in this dataset comes out at 337 meV per atom. The space group is Pmmm (47).



## NbCr3As (PBEsol)

Data for a relaxed structure of NbCr3As.

POSCAR file:
```
NbCr3As
1.0
-3.050 -1.561 -2.616
2.987 -2.257 -2.136
-0.597 -3.324 2.679
Cr Nb As
3 1 1
Cartesian
1.493 -1.129 -1.068
-0.298 -1.662 1.339
-1.525 -0.780 -1.308
-0.330 -3.571 -1.036
0.000 0.000 0.000
```

Calculated values
The calculation puts the volume at 80.1 Å³ per cell. As for the crystal system: cubic. For the final energy, the calculation gives -8.35 eV/atom. The space group is Pm-3m (221).



## TaNi2Ru (PBEsol)

Data for a relaxed structure of TaNi2Ru.

POSCAR file:
```
TaNi2Ru
1.0
-2.604 2.544 -0.533
0.467 -0.284 -3.638
-1.550 -3.836 1.961
Ru Ni Ta
1 2 1
Cartesian
0.000 0.000 0.000
-2.611 -0.081 -0.329
-1.076 -1.495 -1.881
-1.068 1.130 -2.085
```

Calculated values
The calculation puts the volume at 51.0 Å³ per cell. As for the crystal system: tetragonal. For the final energy, the calculation gives -9.03 eV/atom. The energy above the most stable polymorph in this dataset comes out at 57 meV per atom. The space group is I4/mmm (139).



## LaCuSi2 (PBEsol)

Data for a relaxed structure of LaCuSi2.

POSCAR file:
```
LaCuSi2
1.0
3.735 0.000 0.000
0.000 3.859 0.000
-1.867 -1.929 5.402
Cu La Si
1 1 2
Cartesian
1.867 1.929 0.391
0.000 1.929 3.124
0.000 0.000 0.173
1.867 0.000 1.714
```

Calculated values
The calculation puts the volume at 77.8 Å³ per cell. As for the crystal system: orthorhombic. For the final energy, the calculation gives -5.64 eV/atom. As for the raw formation energy: -0.3479 eV per atom. The space group is Imm2 (44).



## CaLaI2N (PBEsol)

Data for a relaxed structure of CaLaI2N.

POSCAR file:
```
CaLaI2N
1.0
-3.537 1.979 -0.967
-1.572 -4.462 -3.385
-2.643 -2.508 4.534
I Ca N La
2 1 1 1
Cartesian
-1.321 -1.254 2.267
-0.786 -2.231 -1.692
0.000 0.000 0.000
-1.768 0.990 -0.483
-3.876 -2.496 0.091
```

Calculated values
The calculation puts the volume at 141.0 Å³ per cell. As for the crystal system: tetragonal. For the final energy, the calculation gives -4.28 eV/atom. As for the raw formation energy: -0.3678 eV per atom. The space group is P4/mmm (123).



## LiMg17Al11 (PBEsol)

Data for a relaxed structure of LiMg17Al11.

POSCAR file:
```
LiMg17Al11
1.0
-2.906 -8.363 1.773
9.027 0.101 0.168
-3.215 5.716 6.241
Li Mg Al
1 17 11
Cartesian
1.651 -1.976 1.859
4.993 -6.263 4.100
3.261 -4.010 3.097
0.009 -0.010 0.014
1.908 -1.677 5.344
0.139 0.799 5.242
1.292 3.137 6.899
4.003 -0.984 3.305
0.928 3.447 3.798
3.105 0.026 0.071
3.152 1.598 4.895
6.261 -3.113 3.199
1.498 -6.491 3.839
-1.617 -1.785 5.536
-0.989 -2.878 0.621
-2.835 0.778 4.304
0.242 -3.651 3.811
-2.112 0.722 7.357
-1.491 3.145 5.501
2.301 0.502 7.486
1.594 0.625 2.682
-4.393 -3.213 5.390
-1.311 -5.759 2.644
-4.455 -0.655 6.203
3.110 4.710 5.185
6.250 -0.395 1.627
5.332 3.685 4.082
-0.610 -0.938 2.978
0.131 -1.037 7.778
```

Calculated values
The calculation puts the volume at 568.7 Å³ per cell. As for the crystal system: monoclinic. For the final energy, the calculation gives -2.65 eV/atom. The space group is Cm (8).



## FeCo2 (PBEsol)

Data for a relaxed structure of FeCo2.

POSCAR file:
```
FeCo2
1.0
2.403 0.416 0.000
-0.416 2.403 0.000
0.000 0.000 10.733
Co Fe
4 2
Cartesian
0.289 1.906 2.577
1.698 0.913 0.889
0.289 1.906 9.844
1.698 0.913 8.156
0.289 1.906 6.324
1.698 0.913 4.409
```

Calculated values
The calculation puts the volume at 63.8 Å³ per cell. As for the crystal system: tetragonal. For the final energy, the calculation gives -8.09 eV/atom. The space group is P4/nmm (129).



## SrRe2Au (PBEsol)

Data for a relaxed structure of SrRe2Au.

POSCAR file:
```
SrRe2Au
1.0
4.635 0.000 0.000
2.318 4.014 0.000
2.318 1.338 3.785
Au Re Sr
1 2 1
Cartesian
0.000 0.000 0.000
2.318 1.338 0.946
6.953 4.014 2.838
4.635 2.676 1.892
```

Calculated values
The calculation puts the volume at 70.4 Å³ per cell. As for the crystal system: cubic. For the final energy, the calculation gives -6.56 eV/atom. The energy above the most stable polymorph in this dataset comes out at 751 meV per atom. The space group is Fm-3m (225).



## ZrPb2Se (PBEsol)

Data for a relaxed structure of ZrPb2Se.

POSCAR file:
```
ZrPb2Se
1.0
-3.120 -0.057 1.285
1.636 -3.306 3.825
2.257 5.381 1.287
Pb Se Zr
2 1 1
Cartesian
0.611 1.947 6.001
-0.706 1.814 2.796
-0.678 -1.169 2.735
1.576 -0.238 3.816
```

Calculated values
The calculation puts the volume at 98.0 Å³ per cell. As for the crystal system: monoclinic. For the final energy, the calculation gives -5.60 eV/atom. As for the raw formation energy: -0.3643 eV per atom. The space group is Cm (8).



## Co2P (PBEsol)

Data for a relaxed structure of Co2P.

POSCAR file:
```
Co2P
1.0
-0.617 -1.849 2.735
0.289 -4.708 -3.117
4.662 2.062 2.445
P Co
3 6
Cartesian
3.204 -0.195 0.591
1.747 -2.451 -1.263
-0.308 -0.924 1.368
3.459 1.530 1.814
0.214 -3.493 -2.312
1.278 -0.683 -0.173
1.551 -0.102 2.343
-0.193 -2.803 0.124
2.667 -2.515 0.964
```

Calculated values
The calculation puts the volume at 93.0 Å³ per cell. As for the crystal system: hexagonal. For the final energy, the calculation gives -7.68 eV/atom. The space group is P-62m (189).



## K3TmF6 (PBEsol)

Data for a relaxed structure of K3TmF6.

POSCAR file:
```
K3TmF6
1.0
-2.993 1.552 5.533
-0.057 -4.193 4.939
3.475 1.224 5.330
K Tm F
3 1 6
Cartesian
0.212 -0.709 7.901
0.106 -0.354 3.951
0.319 -1.063 11.852
0.000 0.000 0.000
0.067 -2.589 6.303
1.973 0.335 6.514
-1.548 -1.752 9.289
1.942 -1.928 9.179
0.358 1.172 9.499
-1.517 0.511 6.623
```

Calculated values
The calculation puts the volume at 192.3 Å³ per cell. As for the crystal system: cubic. For the final energy, the calculation gives -5.29 eV/atom. As for the raw formation energy: -3.3079 eV per atom. The space group is Fm-3m (225).



Number 1: total magnetic moment 7.92 μB per cell. Number 2: total magnetic moment 0.00 μB per cell. Number 3: total magnetic moment 0.00 μB per cell. Number 4: total magnetic moment 0.76 μB per cell. Number 5: total magnetic moment 3.71 μB per cell. Number 6: total magnetic moment 0.00 μB per cell. Number 7: total magnetic moment 0.00 μB per cell. Number 8: total magnetic moment 0.13 μB per cell. Number 9: total magnetic moment 0.00 μB per cell. Number 10: total magnetic moment 11.18 μB per cell. Number 11: total magnetic moment 0.00 μB per cell. Number 12: total magnetic moment 0.00 μB per cell. Number 13: total magnetic moment 3.12 μB per cell. Number 14: total magnetic moment 0.05 μB per cell.